# Li6TiNi3P6O24

Crystalline Li6TiNi3P6O24 at its relaxed geometry (PBE+U, Alexandria via LeMat-Bulk).

Cell: 8.9589 8.9935 8.9419 Å, 56.49 56.66 56.26°
Each line ends with the local moment (μB).
Sites, in units of the cell vectors:
O  0.2500  0.8869  0.1387  0.00
O  0.1496  0.5376  0.2360  -0.09
P  0.9622  0.5450  0.2533  0.01
O  0.8837  0.1432  0.2478  0.00
O  0.1401  0.2522  0.8843  0.00
O  0.8006  0.0233  0.6083  -0.16
Li  0.0854  0.7230  0.3458  0.00
O  0.8096  0.5197  0.4527  0.00
O  0.5444  0.2497  0.1360  -0.09
O  0.0393  0.6082  0.7990  -0.07
P  0.7566  0.0451  0.4532  0.02
Ni  0.8503  0.8588  0.8506  1.75
O  0.8006  0.8497  0.4602  -0.03
O  0.4616  0.8003  0.8460  -0.03
O  0.1800  0.0158  0.3923  -0.01
O  0.4882  0.5473  0.1813  -0.11
Li  0.2143  0.6082  0.8736  0.00
O  0.8445  0.4808  0.7992  -0.01
Ni  0.6557  0.6607  0.6498  1.81
O  0.6124  0.8001  0.0189  -0.15
O  0.1806  0.4893  0.5429  -0.07
O  0.7426  0.1161  0.8839  -0.07
O  0.5441  0.1831  0.4873  -0.11
Ni  0.3531  0.3509  0.3496  1.62
O  0.1145  0.8879  0.7476  -0.03
O  0.4963  0.4584  0.8096  0.00
O  0.4535  0.8038  0.5142  0.00
P  0.4564  0.7581  0.0414  0.02
O  0.2476  0.1420  0.5359  -0.05
O  0.0148  0.3897  0.1853  -0.01
O  0.3853  0.1832  0.0238  0.00
P  0.0464  0.4605  0.7550  0.01
Ti  0.1490  0.1477  0.1542  0.01
Li  0.7247  0.3563  0.0785  0.00
Li  0.3466  0.0861  0.7220  0.00
P  0.2544  0.9621  0.5444  0.01
O  0.9049  0.7430  0.0992  -0.08
Li  0.5542  0.5403  0.5236  0.00
Li  0.9592  0.9813  0.9645  0.00
P  0.5427  0.2534  0.9612  0.01

D(E_F) = 8.603 states/eV/f.u.
Raw total energy = -6.55 eV per atom
M_tot = 3.90 μB/cell